(1)
Pr6Sm2Ho: optimized geometry, PBE-GGA.

The total energy comes out at -41.54 eV per cell.

abc: 3.689 10.204 10.204
angles: 55.90 90.00 90.00
Sites, in units of the cell vectors:
Sm1 0.500 0.175 0.175
Ho1 0.000 0.000 0.000
Pr1 0.000 0.160 0.510
Pr2 0.000 0.510 0.160
Pr3 0.500 0.685 0.315
Pr4 0.500 0.315 0.685
Sm2 0.500 0.825 0.825
Pr5 0.000 0.490 0.840
Pr6 0.000 0.840 0.490

=====

(2)
Y4Si6Ir7: optimized geometry, PBE-GGA.

The total energy comes out at -137.54 eV per cell.

abc: 7.186 7.186 7.186
angles: 109.47 109.47 109.47
Sites, in units of the cell vectors:
Si1 0.674 0.000 0.674
Si2 0.326 0.000 0.326
Y1 0.000 0.000 0.500
Ir1 0.750 0.250 0.500
Ir2 0.250 0.750 0.500
Si3 0.000 0.326 0.326
Ir3 0.500 0.250 0.750
Ir4 0.750 0.500 0.250
Ir5 0.500 0.750 0.250
Y2 0.500 0.500 0.500
Ir6 0.250 0.500 0.750
Si4 0.326 0.326 0.000
Si5 0.674 0.674 0.000
Ir7 0.000 0.000 0.000
Y3 0.000 0.500 0.000
Y4 0.500 0.000 0.000
Si6 0.000 0.674 0.674

=====

(3)
V3BSb: optimized geometry, PBE-GGA.

The total energy comes out at -27.17 eV per cell.

abc: 4.915 4.915 4.915
angles: 90.00 90.00 90.00
Last column: magnetic moment on the atom in μB.
Sites, in units of the cell vectors:
B1 0.500 0.500 0.500  -0.26
V1 0.500 0.000 0.000  2.18
V2 0.000 0.000 0.500  2.18
Sb1 0.000 0.000 0.000  -0.08
V3 0.000 0.500 0.000  2.18

=====

(4)
MnBe2Co2: optimized geometry, PBE-GGA.

The total energy comes out at -60.90 eV per cell.

abc: 6.209 6.209 2.470
angles: 90.00 90.00 90.00
Sites, in units of the cell vectors:
Mn1 0.000 0.000 0.000
Co1 0.366 0.866 0.000
Co2 0.866 0.634 0.000
Be1 0.664 0.836 0.500
Mn2 0.500 0.500 0.000
Be2 0.836 0.336 0.500
Co3 0.134 0.366 0.000
Be3 0.164 0.664 0.500
Co4 0.634 0.134 0.000
Be4 0.336 0.164 0.500

=====

(5)
Nd2Ga2Pb: optimized geometry, PBE-GGA.

The total energy comes out at -22.29 eV per cell.

abc: 4.257 4.189 7.648
angles: 105.89 90.00 90.00
Sites, in units of the cell vectors:
Nd1 0.500 0.368 0.736
Ga1 0.000 0.796 0.593
Pb1 0.000 0.000 0.000
Nd2 0.500 0.632 0.264
Ga2 0.000 0.204 0.407

=====

(6)
ScPaBiTe: optimized geometry, PBE-GGA.

The total energy comes out at -24.81 eV per cell.

abc: 5.289 5.289 5.289
angles: 60.00 60.00 60.00
Last column: magnetic moment on the atom in μB.
Sites, in units of the cell vectors:
Pa1 0.500 0.500 0.500  1.07
Bi1 0.250 0.250 0.250  -0.05
Te1 0.750 0.750 0.750  -0.04
Sc1 0.000 0.000 0.000  0.44

=====

(7)
Sr8Ga2Hg: optimized geometry, PBE-GGA.

The total energy comes out at -22.52 eV per cell.

abc: 5.636 7.949 10.589
angles: 107.26 105.43 90.00
Sites, in units of the cell vectors:
Sr1 0.597 0.452 0.194
Hg1 0.500 0.000 0.000
Ga1 0.184 0.707 0.369
Sr2 0.671 0.965 0.342
Sr3 0.795 0.681 0.591
Sr4 0.965 0.208 0.929
Sr5 0.329 0.035 0.658
Sr6 0.035 0.792 0.071
Ga2 0.816 0.293 0.631
Sr7 0.403 0.548 0.806
Sr8 0.205 0.319 0.409

=====

(8)
La8Ir3PdI4: optimized geometry, PBE-GGA.

The total energy comes out at -94.70 eV per cell.

abc: 8.556 9.620 8.558
angles: 116.40 119.99 90.00
Sites, in units of the cell vectors:
La1 0.271 0.314 0.542
La2 0.234 0.686 0.953
I1 0.000 0.000 0.000
Pd1 0.000 0.500 0.000
La3 0.766 0.314 0.047
La4 0.719 0.686 0.953
La5 0.766 0.314 0.533
Ir1 0.500 0.500 0.000
La6 0.729 0.686 0.458
La7 0.234 0.686 0.467
Ir2 0.500 0.500 0.500
I2 0.000 0.000 0.500
I3 0.500 0.000 0.500
Ir3 0.000 0.500 0.500
I4 0.500 0.000 0.000
La8 0.281 0.314 0.047

=====

(9)
Hf2GaB2: optimized geometry, PBE-GGA.

The total energy comes out at -78.52 eV per cell.

abc: 6.047 6.047 3.581
angles: 90.00 90.00 90.00
Sites, in units of the cell vectors:
B1 0.397 0.897 0.000
B2 0.603 0.103 0.000
B3 0.897 0.603 0.000
Hf1 0.820 0.320 0.500
B4 0.103 0.397 0.000
Ga1 0.500 0.500 0.000
Hf2 0.180 0.680 0.500
Hf3 0.320 0.180 0.500
Ga2 0.000 0.000 0.000
Hf4 0.680 0.820 0.500

=====

(10)
Ho4GeSb3: optimized geometry, PBE-GGA.

The total energy comes out at -43.06 eV per cell.

abc: 6.104 6.104 6.104
angles: 90.00 90.00 90.00
Sites, in units of the cell vectors:
Sb1 0.000 0.500 0.500
Ho1 0.000 0.000 0.500
Ho2 0.500 0.500 0.500
Ho3 0.000 0.500 0.000
Ho4 0.500 0.000 0.000
Sb2 0.500 0.500 0.000
Ge1 0.000 0.000 0.000
Sb3 0.500 0.000 0.500

=====

(11)
Al2HgRhPb: optimized geometry, PBE-GGA.

The total energy comes out at -19.23 eV per cell.

abc: 4.777 5.352 4.777
angles: 90.00 90.00 90.00
Sites, in units of the cell vectors:
Rh1 0.000 0.000 0.000
Hg1 0.500 0.500 0.500
Al1 0.500 0.000 0.000
Al2 0.000 0.000 0.500
Pb1 0.000 0.500 0.000

=====

(12)
NaLi2CoN: optimized geometry, PBE-GGA.

The total energy comes out at -21.32 eV per cell.

abc: 4.260 4.260 3.564
angles: 90.00 90.00 90.00
Sites, in units of the cell vectors:
N1 0.000 0.000 0.000
Li1 0.500 0.000 0.000
Co1 0.000 0.000 0.500
Li2 0.000 0.500 0.000
Na1 0.500 0.500 0.500

=====

(13)
Ba2CaAl12Pd3: optimized geometry, PBE-GGA.

The total energy comes out at -66.68 eV per cell.

abc: 9.343 9.343 9.343
angles: 53.98 53.98 53.98
Sites, in units of the cell vectors:
Al1 0.131 0.658 0.658
Pd1 0.500 0.000 0.000
Ca1 0.000 0.000 0.000
Ba1 0.391 0.391 0.391
Al2 0.155 0.155 0.494
Al3 0.658 0.131 0.658
Al4 0.845 0.506 0.845
Ba2 0.609 0.609 0.609
Al5 0.869 0.342 0.342
Al6 0.342 0.342 0.869
Pd2 0.000 0.500 0.000
Al7 0.342 0.869 0.342
Pd3 0.000 0.000 0.500
Al8 0.494 0.155 0.155
Al9 0.658 0.658 0.131
Al10 0.845 0.845 0.506
Al11 0.155 0.494 0.155
Al12 0.506 0.845 0.845

=====

(14)
LuThReAg: optimized geometry, PBE-GGA.

The total energy comes out at -27.42 eV per cell.

abc: 5.026 5.026 5.026
angles: 60.00 60.00 60.00
Sites, in units of the cell vectors:
Lu1 0.500 0.500 0.500
Ag1 0.250 0.250 0.250
Th1 0.000 0.000 0.000
Re1 0.750 0.750 0.750

=====

(15)
CaDyCuPt: optimized geometry, PBE-GGA.

The total energy comes out at -19.52 eV per cell.

abc: 3.904 4.270 5.789
angles: 90.00 109.70 90.00
Sites, in units of the cell vectors:
Dy1 0.864 0.500 0.728
Ca1 0.144 0.000 0.288
Cu1 0.569 0.500 0.139
Pt1 0.422 0.000 0.845